[1]
A geometry-optimized AlSiIr2 structure. Source: Alexandria, functional PBE-GGA.

Summary:
For the uncorrected formation energy, the calculation gives -2.24 eV/f.u. For the density of states at the Fermi level, the calculation gives 0.34 states/eV/atom. For the magnetic moment, the calculation gives 0.0 Bohr magnetons per cell.

a = 2.872 Å, b = 2.872 Å, c = 23.608 Å
α = 90.00°, β = 90.00°, γ = 120.00°
Positions (direct):
Al 0.000 0.000 0.000
Al 0.333 0.667 0.667
Al 0.667 0.333 0.333
Si 0.000 0.000 0.500
Si 0.333 0.667 0.167
Si 0.667 0.333 0.833
Ir 0.000 0.000 0.246
Ir 0.000 0.000 0.754
Ir 0.333 0.667 0.421
Ir 0.333 0.667 0.912
Ir 0.667 0.333 0.088
Ir 0.667 0.333 0.579

---

[2]
A geometry-optimized Al2SiIr structure. Source: Alexandria, functional PBE-GGA.

Summary:
For the uncorrected formation energy, the calculation gives -0.15 eV/f.u. Its energy above the most stable polymorph in this dataset is 1.73 eV/f.u. For the density of states at the Fermi level, the calculation gives 0.67 states/eV/atom. For the magnetic moment, the calculation gives 0.0 Bohr magnetons per cell.

a = 8.323 Å, b = 8.323 Å, c = 4.550 Å
α = 90.00°, β = 90.00°, γ = 90.00°
Positions (direct):
Al 0.149 0.250 0.125
Al 0.250 0.649 0.375
Al 0.250 0.851 0.875
Al 0.351 0.250 0.625
Al 0.649 0.750 0.625
Al 0.750 0.149 0.875
Al 0.750 0.351 0.375
Al 0.851 0.750 0.125
Si 0.000 0.000 0.500
Si 0.000 0.500 0.750
Si 0.500 0.000 0.250
Si 0.500 0.500 0.000
Ir 0.000 0.000 0.000
Ir 0.000 0.500 0.250
Ir 0.500 0.000 0.750
Ir 0.500 0.500 0.500